Density functional theory data (GGA-PBE) for crystalline YSNCl2 at its relaxed geometry.

Spin magnetization ... 0.800 μB per atom
Relative energy among the computed polymorphs ... 0.000 eV/atom
DFT total energy ... -4.6888 eV per atom
N(E_F) ... 4.29 states/eV per cell
Raw formation energy ... -0.17 eV/atom

a b c (Å): 5.316 5.316 5.412
angles (deg): 90.00 90.00 90.00
Site moments in Bohr magnetons follow the coordinates.
Fractional positions:
N (0.500, 0.500, 0.500)  1.93
Cl (0.000, 0.500, 0.000)  0.06
Cl (0.500, 0.000, 0.000)  0.06
Y (0.000, 0.000, 0.000)  -0.02
S (0.000, 0.000, 0.500)  0.54